VASP calculation (PBE) on an optimized crystal structure of TeOsW2Br.

Computed properties:
The calculation puts the magnetization at 0.1473 μB per atom. The energy relative to the elements, uncorrected comes out at 2.30 eV per atom. As for the theoretical density: 12.5 Mg/m³.

Cell and atoms, written as CIF:
```
data_TeOsW2Br
_chemical_formula_sum 'Te1 Os1 W2 Br1'
_cell_length_a 4.688
_cell_length_b 4.688
_cell_length_c 4.627
_cell_angle_alpha 90.00
_cell_angle_beta 90.00
_cell_angle_gamma 90.00
_symmetry_space_group_name_H-M 'P 4/m m m'
_symmetry_Int_Tables_number 123
_symmetry_space_group_name_Hall '-P 4 2'
loop_
_atom_site_label
_atom_site_fract_x
_atom_site_fract_y
_atom_site_fract_z
_atom_site_occupancy
Te1 0.000 0.000 0.000 1
Os1 0.500 0.500 0.000 1
W1 0.000 0.500 0.500 1
Br1 0.500 0.500 0.500 1
```